InReSi after structural relaxation. Source: Alexandria, functional PBE.

```
InReSi
1.0
3.0424 0.0000 0.0000
-1.5212 2.6348 0.0000
0.0000 0.0000 6.5041
In Re Si
1 1 1
Direct
0.0000 0.0000 0.0000
0.6667 0.3333 0.3591
0.3333 0.6667 0.6200
```

density	10.48	Mg/m³
final energy	-6.599	eV per atom
uncorrected formation energy	0.271	eV per atom


Tb2PmCu9 after structural relaxation. Source: Alexandria, functional PBE.

```
Tb2PmCu9
1.0
2.6027 1.5027 8.3099
-2.6027 1.5027 8.3099
0.0000 -3.0054 8.3099
Tb Pm Cu
2 1 9
Direct
0.1428 0.1428 0.1428
0.8572 0.8572 0.8572
0.0000 0.0000 0.0000
0.0836 0.5815 0.5815
0.3321 0.3321 0.3321
0.4185 0.4185 0.9164
0.4185 0.9164 0.4185
0.5000 0.5000 0.5000
0.5815 0.0836 0.5815
0.5815 0.5815 0.0836
0.6679 0.6679 0.6679
0.9164 0.4185 0.4185
```

density	8.81	Mg/m³
final energy	-4.425	eV per atom
calculated formation energy	-0.19	eV per atom


DyPuN2 after structural relaxation. Source: Alexandria, functional PBE.

```
DyPuN2
1.0
3.4035 0.0000 0.0000
-1.7017 2.9475 0.0000
0.0000 0.0000 17.9637
Dy Pu N
3 3 6
Direct
0.0000 0.0000 0.0000
0.3333 0.6667 0.6667
0.6667 0.3333 0.3333
0.0000 0.0000 0.8291
0.3333 0.6667 0.4958
0.6667 0.3333 0.1624
0.0000 0.0000 0.4085
0.0000 0.0000 0.5780
0.3333 0.6667 0.0752
0.3333 0.6667 0.2447
0.6667 0.3333 0.7418
0.6667 0.3333 0.9113
```

density	12.01	Mg/m³
final energy	-10.151	eV per atom
uncorrected formation energy	-1.254	eV per atom


MgBeGe3 after structural relaxation. Source: Alexandria, functional PBE.

```
MgBeGe3
1.0
4.9668 0.0000 0.0000
0.0000 4.9668 0.0000
0.0000 0.0000 4.9668
Mg Be Ge
1 1 3
Direct
0.0000 0.0000 0.0000
0.5000 0.5000 0.5000
0.0000 0.0000 0.5000
0.0000 0.5000 0.0000
0.5000 0.0000 0.0000
```

polymorph energy (0 for the lowest one)	378.8	kJ/mol of formula units
density	3.40	Mg/m³
final energy	-2.687	eV per atom
calculated formation energy	1.15	eV per atom


LiCa2Zn2Cd5 after structural relaxation. Source: Alexandria, functional PBE.

```
LiCa2Zn2Cd5
1.0
10.4764 0.0000 0.0000
0.0000 10.4764 0.0000
0.0000 0.0000 4.1537
Li Ca Zn Cd
2 4 4 10
Direct
0.0000 0.0000 0.0000
0.5000 0.5000 0.0000
0.1775 0.3225 0.0000
0.3225 0.8225 0.0000
0.6775 0.1775 0.0000
0.8225 0.6775 0.0000
0.1202 0.6202 0.0000
0.3798 0.1202 0.0000
0.6202 0.8798 0.0000
0.8798 0.3798 0.0000
0.0000 0.5000 0.5000
0.0577 0.8008 0.5000
0.1992 0.0577 0.5000
0.3008 0.5577 0.5000
0.4423 0.3008 0.5000
0.5000 0.0000 0.5000
0.5577 0.6992 0.5000
0.6992 0.4423 0.5000
0.8008 0.9423 0.5000
0.9423 0.1992 0.5000
```

density	5.68	Mg/m³
final energy	-1.544	eV per atom
calculated formation energy	-0.24	eV per atom


VTcBiB2 after structural relaxation. Source: Alexandria, functional PBE.

```
VTcBiB2
1.0
4.0658 0.0000 0.0000
0.0000 4.0658 0.0000
0.0000 0.0000 5.5344
V Tc Bi B
1 1 1 2
Direct
0.0000 0.0000 0.0000
0.5000 0.5000 0.5000
0.5000 0.5000 0.0000
0.0000 0.5000 0.5000
0.5000 0.0000 0.5000
```

density	6.89	Mg/m³
final energy	-6.151	eV per atom
calculated formation energy	1.19	eV per atom


NaTa3I after structural relaxation. Source: Alexandria, functional PBE.

```
NaTa3I
1.0
5.0790 0.0000 0.0000
0.0000 5.0790 0.0000
0.0000 0.0000 5.0790
Na Ta I
1 3 1
Direct
0.0000 0.0000 0.0000
0.0000 0.5000 0.5000
0.5000 0.0000 0.5000
0.5000 0.5000 0.0000
0.5000 0.5000 0.5000
```

polymorph energy (0 for the lowest one)	0.0	kJ/mol of formula units
density	8.78	Mg/m³
final energy	-5.571	eV per atom
uncorrected formation energy	2.114	eV per atom


Tb3PmTm2Se6 after structural relaxation. Source: Alexandria, functional PBE.

```
Tb3PmTm2Se6
1.0
3.5284 -6.1446 0.0000
3.5284 6.1446 0.0000
-2.3570 0.0000 6.6747
Tb Pm Tm Se
3 1 2 6
Direct
0.0000 0.0000 0.0000
0.3417 0.6583 0.0000
0.6583 0.3417 0.0000
0.5000 0.5000 0.5000
0.1653 0.8347 0.5000
0.8347 0.1653 0.5000
0.0718 0.4174 0.2502
0.2367 0.2367 0.7436
0.4174 0.0718 0.2502
0.5826 0.9282 0.7498
0.7633 0.7633 0.2564
0.9282 0.5826 0.7498
```

density	8.22	Mg/m³
final energy	-5.788	eV per atom
uncorrected formation energy	-1.748	eV per atom